La2Zn3Ge | PBE | relaxed

Summary:
Crystal system: orthorhombic
Formation energy (eV per atom): -0.51
ΔE to the lowest computed polymorph (meV per atom): 13

The structure in POSCAR format:
```
La2Zn3Ge
1.0
4.186 0.000 0.000
0.000 4.380 0.000
0.000 0.000 7.733
La Zn Ge
2 3 1
Direct
0.000 0.000 0.000
0.000 0.500 0.472
0.500 0.000 0.658
0.500 0.500 0.150
0.500 0.500 0.817
0.500 0.000 0.325
```